1.
Material: Mg2ZnRh2
Method: DFT, PBE-GGA
State: optimized geometry

Its space group is No. 127. Its final energy is -4.27 eV per atom. The formation energy comes out at -211 kJ/mol of formula units. As for the density of states at the Fermi level: 0.11 states/eV/atom.

Geometry as extended XYZ:
```
10
Lattice="-6.209 -1.855 -1.289 1.396 -0.187 -6.455 1.011 -3.610 0.324" Properties=species:S:1:pos:R:3 pbc="T T T"
Mg 0.431 -2.227 -4.309
Mg -4.232 -3.426 -3.111
Mg -2.424 -3.188 -6.108
Mg -1.377 -2.465 -1.312
Zn -2.406 -1.021 -3.872
Zn 0.000 0.000 0.000
Rh -0.389 -0.332 -2.489
Rh -4.423 -1.710 -5.255
Rh -1.020 -0.823 -5.992
Rh -3.792 -1.220 -1.752
```

---

2.
Material: Sc3MnTl3Se8
Method: DFT, PBE-GGA
State: optimized geometry

Its space group is No. 166. Its final energy is -5.27 eV per atom. The uncorrected formation energy is -1.0631 eV/atom. As for the density of states at the Fermi level: 0.14 states/eV/atom.

Geometry as extended XYZ:
```
15
Lattice="-7.108 -1.167 2.889 6.225 -0.823 4.559 -2.222 8.479 -2.041" Properties=species:S:1:pos:R:3 pbc="T T T"
Sc -1.552 3.245 2.703
Sc -4.665 3.656 0.424
Sc 2.002 3.828 1.259
Se -3.861 4.667 2.811
Se -0.350 5.200 1.239
Se -0.815 4.151 5.163
Se -2.755 1.289 4.167
Se 0.756 1.822 2.595
Se -6.034 1.723 1.765
Se 2.929 4.766 3.641
Se -2.290 2.338 0.244
Tl 3.113 -0.412 2.280
Tl -0.442 -0.995 3.724
Tl 0.000 0.000 0.000
Mn -1.111 4.240 -1.021
```

---

3.
Material: KCaSb2
Method: DFT, PBE-GGA
State: optimized geometry

Its space group is No. 166. Its final energy is -3.27 eV per atom. The uncorrected formation energy is -0.4322 eV/atom. As for the density of states at the Fermi level: 0.46 states/eV/atom. The energy above the lowest structure with this stoichiometry is 20.1 kJ/mol of atoms.

Geometry as extended XYZ:
```
4
Lattice="-4.779 -4.231 -8.369 -4.705 -7.245 -6.013 -7.508 -4.657 -5.721" Properties=species:S:1:pos:R:3 pbc="T T T"
Ca -4.248 -4.034 -5.026
Sb -16.876 -16.024 -19.965
Sb -8.611 -8.177 -10.188
K -12.744 -12.101 -15.077
```

---

4.
Material: Rb2AlICl6
Method: DFT, PBE-GGA
State: optimized geometry

Its space group is No. 139. Its final energy is -3.17 eV per atom. The uncorrected formation energy is -1.3367 eV/atom. As for the density of states at the Fermi level: 0.00 states/eV/atom.

Geometry as extended XYZ:
```
10
Lattice="8.197 0.000 0.000 0.000 8.197 0.000 4.099 4.099 5.171" Properties=species:S:1:pos:R:3 pbc="T T T"
Cl 5.700 5.700 0.000
Cl 2.497 2.497 0.000
Cl 4.099 4.099 2.616
Cl 5.700 2.497 0.000
Cl 2.497 5.700 0.000
Cl 8.197 8.197 2.556
Rb 4.099 8.197 2.586
Rb 8.197 4.099 2.586
Al 4.099 4.099 0.000
I 0.000 0.000 0.000
```

---

5.
Material: FeB2Ru
Method: DFT, PBE-GGA
State: optimized geometry

Its space group is No. 160. Its final energy is -7.84 eV per atom. The formation energy comes out at -24 kJ/mol of formula units. As for the density of states at the Fermi level: 0.82 states/eV/atom. The energy above the lowest structure with this stoichiometry is 0.0 kJ/mol of atoms.

Geometry as extended XYZ:
```
4
Lattice="2.857 0.000 0.000 1.429 2.475 0.000 1.429 0.825 5.367" Properties=species:S:1:pos:R:3 pbc="T T T"
Fe 4.286 2.475 5.334
B 1.429 0.825 4.083
B 1.429 0.825 1.287
Ru 2.857 1.650 2.713
```

---

6.
Material: AlHgBi
Method: DFT, PBE-GGA
State: optimized geometry

Its space group is No. 156. Its final energy is -2.48 eV per atom. The formation energy comes out at 46 kJ/mol of formula units. As for the density of states at the Fermi level: 0.41 states/eV/atom. The energy above the lowest structure with this stoichiometry is 6.1 kJ/mol of atoms.

Geometry as extended XYZ:
```
3
Lattice="-1.742 -2.762 -2.533 0.570 -0.925 3.987 -4.923 2.028 1.175" Properties=species:S:1:pos:R:3 pbc="T T T"
Hg -3.255 -0.279 2.542
Al -2.637 -1.463 0.038
Bi -0.202 0.083 0.048
```

---

7.
Material: Pr2Si4Ir3Pt
Method: DFT, PBE-GGA
State: optimized geometry

Its space group is No. 115. Its final energy is -7.41 eV per atom. The uncorrected formation energy is -1.0197 eV/atom. As for the density of states at the Fermi level: 0.52 states/eV/atom.

Geometry as extended XYZ:
```
10
Lattice="-1.025 3.651 1.794 0.473 -1.730 3.792 9.686 2.706 0.026" Properties=species:S:1:pos:R:3 pbc="T T T"
Ir 1.444 -0.528 1.899
Ir 7.965 4.194 0.920
Ir 4.843 1.353 0.013
Pr 1.818 2.477 0.903
Pr 7.592 1.190 1.916
Pt 4.567 2.313 2.806
Si 0.000 0.000 0.000
Si 5.648 3.547 0.913
Si 3.762 0.120 1.906
Si -0.276 0.960 2.793
```

---

8.
Material: MgFeWS4
Method: DFT, PBE-GGA
State: optimized geometry

Its space group is No. 44. Its final energy is -6.23 eV per atom. The uncorrected formation energy is -0.5888 eV/atom. As for the density of states at the Fermi level: 0.28 states/eV/atom.

Geometry as extended XYZ:
```
14
Lattice="4.611 -4.563 -3.356 4.910 0.400 5.392 -6.960 -1.879 1.171" Properties=species:S:1:pos:R:3 pbc="T T T"
Fe 4.538 -3.835 0.553
Fe -1.258 -2.521 2.808
Mg -0.087 -3.696 -0.860
Mg 8.604 -3.762 1.840
W 1.602 -1.377 2.337
W 0.720 -2.013 5.161
S -4.168 -1.510 2.126
S -0.517 -0.462 1.917
S 4.034 -2.303 2.453
S 1.792 -2.374 0.025
S -1.380 -1.084 4.679
S 0.792 -3.420 3.245
S -1.995 -3.510 0.643
S 1.978 -0.167 4.349
```

---

9.
Material: Er4Ga3Hg
Method: DFT, PBE-GGA
State: optimized geometry

Its space group is No. 25. Its final energy is -4.01 eV per atom. The formation energy comes out at -429 kJ/mol of formula units. As for the density of states at the Fermi level: 0.75 states/eV/atom.

Geometry as extended XYZ:
```
8
Lattice="4.213 0.000 0.000 0.000 4.175 0.000 0.000 0.000 10.972" Properties=species:S:1:pos:R:3 pbc="T T T"
Er 0.000 0.000 1.593
Er 0.000 2.087 9.373
Er 2.107 0.000 7.008
Er 2.107 2.087 4.017
Ga 2.107 0.000 9.995
Ga 0.000 0.000 4.673
Ga 0.000 2.087 6.313
Hg 2.107 2.087 0.916
```

---

10.
Material: K2MnCu2Br6
Method: DFT, PBE-GGA
State: optimized geometry

Its space group is No. 12. Its final energy is -3.60 eV per atom. The uncorrected formation energy is -0.9095 eV/atom.

Geometry as extended XYZ:
```
11
Lattice="7.604 0.000 0.000 -3.802 6.603 -0.119 0.000 -3.905 6.625" Properties=species:S:1:pos:R:3 pbc="T T T"
Cu 0.000 -0.129 1.367
Cu 3.802 2.827 5.138
K 0.000 0.420 5.190
K 3.802 2.278 1.316
Mn 3.802 -1.953 3.313
Br 1.831 5.119 1.277
Br 5.633 -2.420 5.229
Br 0.000 2.054 2.338
Br -1.831 5.119 1.277
Br 3.802 0.645 4.168
Br 1.971 -2.420 5.229
```

---

11.
Material: Ag7Pd2Au
Method: DFT, PBE-GGA
State: optimized geometry

Its space group is No. 65. Its final energy is -3.00 eV per atom. The formation energy comes out at 350 kJ/mol of formula units. As for the density of states at the Fermi level: 0.44 states/eV/atom.

Geometry as extended XYZ:
```
10
Lattice="-0.220 -1.847 -4.127 -3.531 -6.188 2.958 -3.938 6.130 -2.534" Properties=species:S:1:pos:R:3 pbc="T T T"
Ag -1.431 -2.262 -1.394
Ag -3.844 -0.952 -1.851
Ag -3.612 -3.713 1.855
Ag -3.856 3.655 -1.430
Ag -6.171 -2.298 -1.125
Ag -1.518 0.394 -2.578
Ag -6.258 0.357 -2.308
Pd -3.927 1.533 -2.959
Pd -3.762 -3.438 -0.743
Au 0.000 0.000 0.000
```

---

12.
Material: CrW4
Method: DFT, PBE-GGA
State: optimized geometry

Its space group is No. 12. Its final energy is -11.54 eV per atom. The formation energy comes out at 362 kJ/mol of formula units. As for the density of states at the Fermi level: 1.02 states/eV/atom. The energy above the lowest structure with this stoichiometry is 67.8 kJ/mol of atoms.

Geometry as extended XYZ:
```
5
Lattice="5.346 1.038 1.720 -2.798 2.400 -2.798 1.720 1.038 5.346" Properties=species:S:1:pos:R:3 pbc="T T T"
Cr 0.000 0.000 0.000
W 3.017 2.237 1.252
W 4.046 2.113 4.046
W 1.252 2.237 3.017
W 0.223 2.361 0.223
```

---

13.
Material: Ta2MnReOs
Method: DFT, PBE-GGA
State: optimized geometry

Its space group is No. 123. Its final energy is -9.69 eV per atom. The formation energy comes out at 781 kJ/mol of formula units. As for the density of states at the Fermi level: 1.14 states/eV/atom.

Geometry as extended XYZ:
```
5
Lattice="-3.148 -3.034 -2.019 2.783 -0.725 -3.250 1.935 -3.653 2.472" Properties=species:S:1:pos:R:3 pbc="T T T"
Re 0.785 -3.706 -1.399
Os 0.000 0.000 0.000
Ta 0.967 -1.826 1.236
Ta -1.574 -1.517 -1.010
Mn 1.392 -0.362 -1.625
```

---

14.
Material: CaPm4Er3S8
Method: DFT, PBE-GGA
State: optimized geometry

Its space group is No. 166. Its final energy is -6.24 eV per atom. The uncorrected formation energy is -2.0108 eV/atom. As for the density of states at the Fermi level: 0.47 states/eV/atom.

Geometry as extended XYZ:
```
16
Lattice="-6.680 -0.642 4.139 -1.994 -6.472 -4.223 6.942 0.229 3.731" Properties=species:S:1:pos:R:3 pbc="T T T"
S -3.042 -5.113 1.808
S 0.311 -4.807 -0.244
S 0.440 -5.011 3.654
S -2.043 -2.079 3.890
S 3.749 -4.693 1.604
S -2.173 -1.874 -0.008
S 1.309 -1.772 1.838
S -5.482 -2.192 2.042
Er -0.866 -3.443 1.823
Er -4.337 -3.557 -0.042
Er 2.474 -3.122 -0.246
Pm -3.340 -0.321 2.069
Pm 0.000 0.000 0.000
Pm 0.131 -0.207 3.935
Pm 3.471 0.114 1.865
Ca -0.997 -3.236 -2.112
```

---

15.
Material: CsPaCrS4
Method: DFT, PBE-GGA
State: optimized geometry

Its space group is No. 11. Its final energy is -6.44 eV per atom. The uncorrected formation energy is -1.2250 eV/atom. As for the density of states at the Fermi level: 0.51 states/eV/atom.

Geometry as extended XYZ:
```
14
Lattice="-3.967 2.150 4.753 -4.352 -4.545 -1.576 5.737 -6.747 3.615" Properties=species:S:1:pos:R:3 pbc="T T T"
S -3.874 -3.802 1.636
S -4.225 -2.254 5.023
S -0.819 -2.821 3.722
S -2.116 -0.052 5.786
S 1.293 -5.340 5.156
S -0.466 -9.090 1.006
S -1.763 -6.321 3.070
S 1.643 -6.888 1.769
Cs -1.807 -0.948 1.050
Cs -0.774 -8.194 5.742
Pa -3.729 -4.792 4.091
Pa 1.147 -4.350 2.701
Cr -2.179 -5.253 1.140
Cr -0.403 -3.889 5.652
```

---

16.
Material: ZrV2Mo
Method: DFT, PBE-GGA
State: optimized geometry

Its space group is No. 225. Its final energy is -9.30 eV per atom. The formation energy comes out at 41 kJ/mol of formula units. As for the density of states at the Fermi level: 1.91 states/eV/atom. The energy above the lowest structure with this stoichiometry is 6.5 kJ/mol of atoms.

Geometry as extended XYZ:
```
4
Lattice="4.497 0.000 0.000 2.249 3.895 0.000 2.249 1.298 3.672" Properties=species:S:1:pos:R:3 pbc="T T T"
V 6.746 3.895 2.754
V 2.249 1.298 0.918
Mo 0.000 0.000 0.000
Zr 4.497 2.596 1.836
```

---

17.
Material: Ac3La2Pb3O2
Method: DFT, PBE-GGA
State: optimized geometry

Its space group is No. 139. Its final energy is -5.81 eV per atom. The uncorrected formation energy is -1.4896 eV/atom. As for the density of states at the Fermi level: 0.64 states/eV/atom.

Geometry as extended XYZ:
```
10
Lattice="4.869 0.000 0.000 0.000 4.869 0.000 -2.434 -2.434 13.278" Properties=species:S:1:pos:R:3 pbc="T T T"
La 2.434 0.000 6.639
La 0.000 2.434 6.639
Ac 0.000 0.000 3.415
Ac 2.434 2.434 9.863
Ac 2.434 2.434 0.000
O 2.434 2.434 7.340
O 0.000 0.000 5.938
Pb 0.000 0.000 9.455
Pb 0.000 0.000 0.000
Pb 2.434 2.434 3.823
```

---

18.
Material: Sr3Ni2
Method: DFT, PBE-GGA
State: optimized geometry

Its space group is No. 65. Its final energy is -3.34 eV per atom. The formation energy comes out at -7 kJ/mol of formula units. As for the density of states at the Fermi level: 0.86 states/eV/atom. The energy above the lowest structure with this stoichiometry is 0.0 kJ/mol of atoms.

Geometry as extended XYZ:
```
5
Lattice="-1.333 4.256 0.284 -3.307 -1.193 2.356 6.191 1.561 5.679" Properties=species:S:1:pos:R:3 pbc="T T T"
Ni -0.336 1.953 4.319
Ni 1.886 2.670 4.000
Sr 1.456 0.064 5.878
Sr 1.427 0.303 2.157
Sr -2.320 1.531 1.320
```

---

19.
Material: LiScRe2
Method: DFT, PBE-GGA
State: optimized geometry

Its space group is No. 65. Its final energy is -8.06 eV per atom. The formation energy comes out at 89 kJ/mol of formula units. As for the density of states at the Fermi level: 1.01 states/eV/atom. The energy above the lowest structure with this stoichiometry is 24.1 kJ/mol of atoms.

Geometry as extended XYZ:
```
4
Lattice="-0.921 -2.254 -1.133 2.629 0.222 -0.500 1.873 -4.671 7.774" Properties=species:S:1:pos:R:3 pbc="T T T"
Re 1.867 -4.657 7.750
Re 0.942 -2.350 3.911
Li 2.259 -4.520 5.014
Sc 1.322 -2.184 1.127
```

---

20.
Material: CePr3Se6
Method: DFT, PBE-GGA
State: optimized geometry

Its space group is No. 12. Its final energy is -5.83 eV per atom. The uncorrected formation energy is -1.7077 eV/atom. As for the density of states at the Fermi level: 0.56 states/eV/atom. The energy above the lowest structure with this stoichiometry is 13.4 kJ/mol of atoms.

Geometry as extended XYZ:
```
10
Lattice="7.390 0.086 0.061 3.618 6.898 0.036 3.618 2.340 6.490" Properties=species:S:1:pos:R:3 pbc="T T T"
Se 8.568 2.401 1.696
Se 6.057 6.923 4.890
Se 5.488 4.940 1.080
Se 5.488 2.669 4.295
Se 9.137 6.655 2.292
Se 9.137 4.384 5.506
Pr 4.090 2.334 1.649
Pr 0.000 0.000 0.000
Pr 10.535 6.990 4.938
Ce 7.312 4.662 3.293
```